Computed, not measured: an optimized crystal structure of BaNiSn6 at the GGA-PBE level of DFT.

abc: 6.7126 6.7126 17.8896
angles: 90.00 90.00 120.00
Space group R-3m (No. 166, hexagonal axes)
One atom of each set of equivalent atoms:
Ba: 0.0000 0.0000 0.0000 x3
Ni: 0.0000 0.0000 0.5000 x3
Sn: 0.0329 0.5165 0.9148 x18

Values from the calculation:
Calculated total energy in eV per atom: -4.1896
Energy of formation from the pure elements in eV per atom: -0.224

Computed, not measured: an optimized crystal structure of TlIn2FeTc at the GGA-PBE level of DFT.

abc: 5.511 5.511 4.951
angles: 90.00 90.00 90.00
Space group P4/mmm (No. 123)
One atom of each set of equivalent atoms:
Tl: 0.000 0.000 0.000 x1
In: 0.000 0.500 0.000 x2
Fe: 0.000 0.000 0.500 x1
Tc: 0.500 0.500 0.500 x1

Values from the calculation:
Calculated total energy in eV per atom: -3.6085
Energy of formation from the pure elements in eV per atom: 1.726

Computed, not measured: an optimized crystal structure of CaMg2Cd8 at the GGA-PBE level of DFT.

abc: 14.892 5.014 8.108
angles: 90.00 121.09 90.00
Space group C2/m (No. 12)
One atom of each set of equivalent atoms:
Ca: 0.000 0.000 0.000 x2
Mg: 0.221 0.500 0.682 x4
Cd: 0.031 0.500 0.723 x4
Cd: 0.108 0.000 0.453 x4
Cd: 0.154 0.500 0.229 x4
Cd: 0.177 0.000 0.878 x4

Values from the calculation:
Calculated total energy in eV per atom: -1.2369
Energy of formation from the pure elements in eV per atom: -0.099